Entry 1:
Compound: SrAg2TeO4
Source: Alexandria
Functional: PBE
Structure: relaxed

Cell lengths 7.8356, 7.8356, 7.1890 Å; angles 123.91, 123.91, 91.26 degrees
Element x y z (fractional)
Sr 0.0000 0.5000 0.0000
Sr 0.0000 0.5000 0.5000
Ag 0.5000 0.0000 0.0000
Ag 0.5000 0.0000 0.5000
Ag 0.0000 0.0000 0.5000
Ag 0.5000 0.5000 0.0000
Te 0.5000 0.5000 0.5000
Te 0.0000 0.0000 0.0000
O 0.1881 0.8074 0.0313
O 0.6926 0.3119 0.4687
O 0.3074 0.6881 0.5313
O 0.8119 0.1926 0.9687
O 0.8153 0.7830 0.0155
O 0.7170 0.6847 0.4845
O 0.2830 0.3153 0.5155
O 0.1847 0.2170 0.9845

## Properties
raw formation energy	-95.68	kJ per mole of atoms
calculated total energy	-4.7865	eV per atom
space-group type	C2/c, No. 15
total magnetization	0.00	μB per formula unit

=====

Entry 2:
Compound: NaIn5
Source: Alexandria
Functional: PBE
Structure: relaxed

Cell lengths 3.7475, 5.4530, 8.4339 Å; angles 108.86, 90.00, 90.00 degrees
Element x y z (fractional)
Na 0.0000 0.0000 0.0000
In 0.0000 0.6640 0.3281
In 0.0000 0.3360 0.6719
In 0.5000 0.5000 0.0000
In 0.5000 0.1719 0.3438
In 0.5000 0.8281 0.6562

## Properties
calculated total energy	-2.5283	eV per atom
space-group type	Cmmm, No. 65
energy of formation	-0.03	eV per atom
Fermi-level density of states	2.66	states/eV/cell
total magnetization	0.00	μB per formula unit

=====

Entry 3:
Compound: V2SnHPt
Source: Alexandria
Functional: PBE
Structure: relaxed

Cell lengths 3.8412, 3.8412, 4.3191 Å; angles 90.00, 90.00, 90.00 degrees
Element x y z (fractional)
H 0.0000 0.0000 0.0000
Sn 0.5000 0.5000 0.5000
Pt 0.0000 0.0000 0.5000
V 0.0000 0.5000 0.0000
V 0.5000 0.0000 0.0000

## Properties
distance to the lowest polymorph of the same formula	0	meV/atom
calculated total energy	-6.5158	eV per atom
space-group type	P4/mmm, No. 123
Fermi-level density of states	3.11	states/eV/cell
total magnetization	0.00	μB per formula unit

=====

Entry 4:
Compound: Be2CrW
Source: Alexandria
Functional: PBE
Structure: relaxed

Cell lengths 4.4516, 4.4516, 4.4516 Å; angles 138.94, 128.18, 68.15 degrees
Element x y z (fractional)
Cr 0.5086 0.5086 0.0000
W 0.2413 0.7413 0.5000
Be 0.9745 0.9745 0.0000
Be 0.7756 0.2756 0.5000

## Properties
distance to the lowest polymorph of the same formula	159	meV/atom
calculated total energy	-7.4205	eV per atom
space-group type	Imm2, No. 44
energy of formation	0.09	eV per atom
Fermi-level density of states	1.95	states/eV/cell
total magnetization	0.00	μB per formula unit

=====

Entry 5:
Compound: GdScZnIn
Source: Alexandria
Functional: PBE
Structure: relaxed

Cell lengths 5.0861, 5.0861, 5.0861 Å; angles 60.00, 60.00, 60.00 degrees
Site moments in Bohr magnetons follow the coordinates.
Element x y z (fractional)
Sc 0.2500 0.2500 0.2500  0.21
Zn 0.0000 0.0000 0.0000  0.00
Gd 0.7500 0.7500 0.7500  7.11
In 0.5000 0.5000 0.5000  -0.03

## Properties
calculated total energy	-6.4903	eV per atom
space-group type	F-43m, No. 216
energy of formation	-0.38	eV per atom
Fermi-level density of states	3.44	states/eV/cell
total magnetization	7.59	μB per formula unit

=====

Entry 6:
Compound: ZrCdIn2
Source: Alexandria
Functional: PBE
Structure: relaxed

Cell lengths 5.7258, 5.7258, 5.7258 Å; angles 135.50, 135.56, 64.71 degrees
Element x y z (fractional)
Cd 0.2500 0.7500 0.5000
In 0.0000 0.0000 0.0000
In 0.5000 0.5000 0.0000
Zr 0.7500 0.2500 0.5000

## Properties
calculated total energy	-3.8369	eV per atom
space-group type	I4/mmm, No. 139
energy of formation	-0.10	eV per atom
Fermi-level density of states	3.71	states/eV/cell
total magnetization	0.00	μB per formula unit

=====

Entry 7:
Compound: Th4Bi3Au
Source: Alexandria
Functional: PBE
Structure: relaxed

Cell lengths 7.8148, 7.9102, 9.0926 Å; angles 90.00, 90.00, 109.48 degrees
Element x y z (fractional)
Au 0.7500 0.0000 0.8734
Au 0.2500 0.0000 0.1266
Bi 0.7500 0.0000 0.3746
Bi 0.2500 0.0000 0.6254
Bi 0.7500 0.5000 0.6229
Bi 0.7500 0.5000 0.1269
Bi 0.2500 0.5000 0.3771
Bi 0.2500 0.5000 0.8731
Th 0.9866 0.2376 0.6374
Th 0.5020 0.2250 0.8888
Th 0.4866 0.2376 0.3626
Th 0.0020 0.2250 0.1112
Th 0.9980 0.7750 0.8888
Th 0.5134 0.7624 0.6374
Th 0.4980 0.7750 0.1112
Th 0.0134 0.7624 0.3626

## Properties
calculated total energy	-6.1374	eV per atom
space-group type	P2/c, No. 13
energy of formation	-0.56	eV per atom
Fermi-level density of states	10.66	states/eV/cell
total magnetization	0.00	μB per formula unit

=====

Entry 8:
Compound: Ca2CuSi
Source: Alexandria
Functional: PBE
Structure: relaxed

Cell lengths 4.1892, 4.1892, 6.0410 Å; angles 90.00, 90.00, 90.00 degrees
Element x y z (fractional)
Ca 0.0000 0.0000 0.9091
Ca 0.5000 0.5000 0.3371
Cu 0.0000 0.0000 0.4238
Si 0.5000 0.5000 0.8300

## Properties
raw formation energy	4.03	kJ per mole of atoms
calculated total energy	-3.3389	eV per atom
space-group type	P4mm, No. 99
Fermi-level density of states	3.66	states/eV/cell
total magnetization	0.00	μB per formula unit

=====

Entry 9:
Compound: Sr2CoH6Pd
Source: Alexandria
Functional: PBE
Structure: relaxed

Cell lengths 5.2616, 5.2616, 5.2837 Å; angles 118.82, 118.82, 91.87 degrees
Element x y z (fractional)
Sr 0.7499 0.2504 0.4998
Sr 0.2499 0.7504 0.4998
Co 0.9999 0.0004 0.9997
H 0.7675 0.7680 0.9991
H 0.7829 0.7834 0.5660
H 0.2323 0.2328 0.0005
H 0.7808 0.2195 0.9998
H 0.2169 0.2174 0.4335
H 0.2190 0.7813 0.9998
Pd 0.5000 0.5005 0.9999

## Properties
calculated total energy	-4.0586	eV per atom
space-group type	Fmmm, No. 69
Fermi-level density of states	0.92	states/eV/cell
total magnetization	0.00	μB per formula unit

=====

Entry 10:
Compound: LaNi2Mo
Source: Alexandria
Functional: PBE
Structure: relaxed

Cell lengths 4.8250, 4.8250, 2.9263 Å; angles 90.02, 90.02, 106.52 degrees
Element x y z (fractional)
La 0.5000 0.0000 0.5000
Mo 0.0000 0.5000 0.5000
Ni 0.0000 0.0000 0.0000
Ni 0.5000 0.5000 0.0000

## Properties
distance to the lowest polymorph of the same formula	306	meV/atom
calculated total energy	-6.5831	eV per atom
space-group type	Cmmm, No. 65
energy of formation	0.25	eV per atom
Fermi-level density of states	3.52	states/eV/cell
total magnetization	0.01	μB per formula unit

=====

Entry 11:
Compound: PmDyCdAg
Source: Alexandria
Functional: PBE
Structure: relaxed

Cell lengths 5.2835, 5.2835, 5.2835 Å; angles 60.00, 60.00, 60.00 degrees
Element x y z (fractional)
Cd 0.7500 0.7500 0.7500
Pm 0.0000 0.0000 0.0000
Ag 0.2500 0.2500 0.2500
Dy 0.5000 0.5000 0.5000

## Properties
distance to the lowest polymorph of the same formula	12	meV/atom
calculated total energy	-3.5711	eV per atom
space-group type	F-43m, No. 216
energy of formation	-0.29	eV per atom
Fermi-level density of states	3.27	states/eV/cell
total magnetization	0.00	μB per formula unit

=====

Entry 12:
Compound: AcNdZn
Source: Alexandria
Functional: PBE
Structure: relaxed

Cell lengths 5.5227, 5.5227, 7.1381 Å; angles 90.00, 90.00, 120.00 degrees
Element x y z (fractional)
Zn 0.6667 0.3333 0.3662
Zn 0.3333 0.6667 0.8662
Nd 0.0000 0.0000 0.6168
Nd 0.0000 0.0000 0.1168
Ac 0.6667 0.3333 0.8669
Ac 0.3333 0.6667 0.3669

## Properties
distance to the lowest polymorph of the same formula	96	meV/atom
calculated total energy	-3.4525	eV per atom
space-group type	P6_3mc, No. 186
energy of formation	-0.07	eV per atom
Fermi-level density of states	7.50	states/eV/cell
total magnetization	0.00	μB per formula unit

=====

Entry 13:
Compound: LiTl2Cd
Source: Alexandria
Functional: PBE
Structure: relaxed

Cell lengths 4.9371, 3.4064, 6.0651 Å; angles 84.42, 90.00, 90.00 degrees
Element x y z (fractional)
Tl 0.0000 0.0057 0.9904
Tl 0.0000 0.4943 0.5096
Li 0.5000 0.7500 0.7500
Cd 0.5000 0.2500 0.2500

## Properties
calculated total energy	-1.9524	eV per atom
space-group type	P2/m, No. 10
energy of formation	-0.06	eV per atom
Fermi-level density of states	1.18	states/eV/cell
total magnetization	0.00	μB per formula unit

=====

Entry 14:
Compound: Al3Tl
Source: Alexandria
Functional: PBE
Structure: relaxed

Cell lengths 2.9810, 2.9810, 10.1866 Å; angles 90.00, 90.00, 111.39 degrees
Element x y z (fractional)
Tl 0.5000 0.5000 0.2500
Al 0.0000 0.0000 0.9711
Al 0.5000 0.5000 0.7500
Al 0.0000 0.0000 0.5289

## Properties
distance to the lowest polymorph of the same formula	80	meV/atom
calculated total energy	-3.1457	eV per atom
space-group type	Cmmm, No. 65
energy of formation	0.25	eV per atom
Fermi-level density of states	1.01	states/eV/cell
total magnetization	0.00	μB per formula unit

=====

Entry 15:
Compound: ZrTeOs2W
Source: Alexandria
Functional: PBE
Structure: relaxed

Cell lengths 4.8706, 4.8750, 4.8706 Å; angles 90.00, 90.00, 90.00 degrees
Site moments in Bohr magnetons follow the coordinates.
Element x y z (fractional)
Te 0.5000 0.5000 0.5000  -0.04
Os 0.0000 0.0000 0.5000  0.04
Os 0.5000 0.0000 0.0000  0.14
Zr 0.0000 0.0000 0.0000  -0.02
W 0.0000 0.5000 0.0000  0.63

## Properties
raw formation energy	233.54	kJ per mole of atoms
calculated total energy	-7.0000	eV per atom
space-group type	P4/mmm, No. 123
Fermi-level density of states	5.31	states/eV/cell
total magnetization	0.89	μB per formula unit

=====

Entry 16:
Compound: Nd2AlGePb
Source: Alexandria
Functional: PBE
Structure: relaxed

Cell lengths 4.4091, 7.1949, 9.1501 Å; angles 103.41, 90.00, 90.00 degrees
Element x y z (fractional)
Nd 0.7500 0.7886 0.5854
Nd 0.7500 0.7427 0.0076
Nd 0.2500 0.2114 0.4146
Nd 0.2500 0.2573 0.9924
Al 0.2500 0.5272 0.7344
Al 0.7500 0.4728 0.2656
Ge 0.2500 0.8689 0.8194
Ge 0.7500 0.1311 0.1806
Pb 0.2500 0.7165 0.2955
Pb 0.7500 0.2835 0.7045

## Properties
calculated total energy	-4.8344	eV per atom
space-group type	P2_1/m, No. 11
energy of formation	-0.51	eV per atom
Fermi-level density of states	3.76	states/eV/cell
total magnetization	0.00	μB per formula unit

=====

Entry 17:
Compound: KY2Bi2
Source: Alexandria
Functional: PBE
Structure: relaxed

Cell lengths 9.0214, 9.0214, 4.0456 Å; angles 90.00, 90.00, 90.00 degrees
Site moments in Bohr magnetons follow the coordinates.
Element x y z (fractional)
Y 0.1388 0.6388 0.5000  0.22
Y 0.6388 0.8612 0.5000  0.23
Y 0.8612 0.3612 0.5000  0.22
Y 0.3612 0.1388 0.5000  0.23
K 0.0000 0.0000 0.0000  0.02
K 0.5000 0.5000 0.0000  0.02
Bi 0.3453 0.8453 0.0000  -0.03
Bi 0.8453 0.6547 0.0000  -0.03
Bi 0.6547 0.1547 0.0000  -0.02
Bi 0.1547 0.3453 0.0000  -0.03

## Properties
distance to the lowest polymorph of the same formula	4	meV/atom
calculated total energy	-4.8767	eV per atom
space-group type	P4/mbm, No. 127
energy of formation	-0.52	eV per atom
Fermi-level density of states	5.42	states/eV/cell
total magnetization	0.97	μB per formula unit

=====

Entry 18:
Compound: MgCoSeN2
Source: Alexandria
Functional: PBE
Structure: relaxed

Cell lengths 3.8943, 3.8943, 5.6037 Å; angles 90.00, 90.00, 90.00 degrees
Site moments in Bohr magnetons follow the coordinates.
Element x y z (fractional)
Mg 0.0000 0.0000 0.0000  -0.01
Co 0.5000 0.5000 0.5000  2.29
Se 0.0000 0.0000 0.5000  0.27
N 0.0000 0.5000 0.0000  0.90
N 0.5000 0.0000 0.0000  0.90

## Properties
distance to the lowest polymorph of the same formula	995	meV/atom
raw formation energy	148.14	kJ per mole of atoms
calculated total energy	-4.2317	eV per atom
space-group type	P4/mmm, No. 123
Fermi-level density of states	6.20	states/eV/cell
total magnetization	5.35	μB per formula unit

=====

Entry 19:
Compound: Ho2Cd3In2
Source: Alexandria
Functional: PBE
Structure: relaxed

Cell lengths 4.6737, 6.0475, 7.1895 Å; angles 110.01, 90.00, 112.73 degrees
Element x y z (fractional)
Ho 0.8513 0.7025 0.2341
Ho 0.1487 0.2975 0.7659
Cd 0.5000 0.0000 0.0000
Cd 0.5996 0.1991 0.4306
Cd 0.4004 0.8009 0.5694
In 0.8475 0.6949 0.7760
In 0.1525 0.3051 0.2240

## Properties
distance to the lowest polymorph of the same formula	0	meV/atom
calculated total energy	-2.7493	eV per atom
space-group type	C2/m, No. 12
energy of formation	-0.27	eV per atom
Fermi-level density of states	3.98	states/eV/cell
total magnetization	0.00	μB per formula unit

=====

Entry 20:
Compound: ErPdAu
Source: Alexandria
Functional: PBE
Structure: relaxed

Cell lengths 5.9255, 8.2975, 5.9112 Å; angles 58.90, 82.40, 95.85 degrees
Element x y z (fractional)
Pd 0.0726 0.2482 0.2452
Pd 0.2372 0.2526 0.7617
Pd 0.7609 0.2501 0.9303
Pd 0.3217 0.8789 0.8538
Er 0.9902 0.5253 0.3755
Er 0.4865 0.5252 0.8746
Er 0.3476 0.9742 0.2781
Er 0.8569 0.9723 0.7953
Au 0.0156 0.6173 0.8055
Au 0.8247 0.8830 0.3625
Au 0.5836 0.2452 0.4213
Au 0.5101 0.6277 0.2963

## Properties
distance to the lowest polymorph of the same formula	44	meV/atom
calculated total energy	-5.1746	eV per atom
space-group type	P1, No. 1
energy of formation	-0.83	eV per atom
Fermi-level density of states	5.22	states/eV/cell
total magnetization	0.00	μB per formula unit